Record 1
## Nd2Dy3ErCoTe2 (PBE-GGA)

Data for Nd2Dy3ErCoTe2 after structural relaxation.

Results
The energy comes out at -47.524 eV for the cell shown.

Unit cell a=3.9704 b=8.4632 c=8.4632 alpha=120.47 beta=90.00 gamma=90.00
Fractional positions:
Nd 0.0000 0.2058 0.7942
Nd 0.0000 0.7942 0.2058
Dy 0.5000 0.0229 0.0229
Dy 0.5000 0.5641 0.8030
Dy 0.5000 0.8030 0.5641
Er 0.0000 0.4086 0.4086
Co 0.0000 0.7530 0.7530
Te 0.5000 0.1371 0.4567
Te 0.5000 0.4567 0.1371

=====

Record 2
## TlPtO3 (PBE-GGA)

Data for TlPtO3 after structural relaxation.

Results
The energy comes out at -50.704 eV for the cell shown.

Unit cell a=5.5151 b=5.5151 c=5.5151 alpha=62.21 beta=62.21 gamma=62.21
Fractional positions:
Tl 0.2500 0.2500 0.2500
Tl 0.7500 0.7500 0.7500
Pt 0.0000 0.0000 0.0000
Pt 0.5000 0.5000 0.5000
O 0.1420 0.7500 0.3579
O 0.2500 0.6421 0.8579
O 0.3579 0.1420 0.7500
O 0.6420 0.8579 0.2500
O 0.7500 0.3579 0.1421
O 0.8579 0.2500 0.6420

=====

Record 3
## TbDy2HoIr4 (PBE-GGA)

Data for TbDy2HoIr4 after structural relaxation.

Results
The value obtained for the energy of formation is -818.6 meV per atom.

Unit cell a=4.8361 b=4.8361 c=6.8399 alpha=90.00 beta=90.00 gamma=90.00
Fractional positions:
Tb 0.0000 0.0000 0.0000
Dy 0.0000 0.0000 0.5000
Dy 0.5000 0.5000 0.0000
Ho 0.5000 0.5000 0.5000
Ir 0.0000 0.5000 0.2506
Ir 0.0000 0.5000 0.7494
Ir 0.5000 0.0000 0.2506
Ir 0.5000 0.0000 0.7494

=====

Record 4
## KHfTc (PBE-GGA)

Data for KHfTc after structural relaxation.

Results
The energy above the most stable polymorph in this dataset comes out at 0 meV/atom.

Unit cell a=4.7108 b=4.7108 c=4.7108 alpha=60.00 beta=60.00 gamma=60.00
Fractional positions:
K 0.0000 0.0000 0.0000
Hf 0.5000 0.5000 0.5000
Tc 0.7500 0.7500 0.7500